1.
This record from the Alexandria database describes a relaxed ZrMnMo2 crystal. The functional is PBE-GGA.

```
data_ZrMnMo2
_symmetry_space_group_name_H-M 'C m m m'
_symmetry_Int_Tables_number 65
_symmetry_space_group_name_Hall '-C 2 2'
_cell_length_a 5.280
_cell_length_b 9.363
_cell_length_c 2.699
_cell_angle_alpha 90.00
_cell_angle_beta 90.00
_cell_angle_gamma 90.00
loop_
_atom_site_label
_atom_site_type_symbol
_atom_site_fract_x
_atom_site_fract_y
_atom_site_fract_z
Zr1 Zr 0.000 0.000 0.000
Mn1 Mn 0.000 0.500 0.000
Mo1 Mo 0.250 0.250 0.500
```

- Calculated formation energy: 0.35 eV/atom


2.
This record from the Alexandria database describes a relaxed ZrMn2Mo crystal. The functional is PBE-GGA.

```
data_ZrMn2Mo
_symmetry_space_group_name_H-M 'I -4 2 d'
_symmetry_Int_Tables_number 122
_symmetry_space_group_name_Hall 'I -4 2bw'
_cell_length_a 6.955
_cell_length_b 6.955
_cell_length_c 5.462
_cell_angle_alpha 90.00
_cell_angle_beta 90.00
_cell_angle_gamma 90.00
loop_
_atom_site_label
_atom_site_type_symbol
_atom_site_fract_x
_atom_site_fract_y
_atom_site_fract_z
Zr1 Zr 0.000 0.000 0.000
Mn1 Mn 0.220 0.250 0.625
Mo1 Mo 0.000 0.000 0.500
```

- Calculated formation energy: 0.52 eV/atom


3.
This record from the Alexandria database describes a relaxed ZrMn2Mo crystal. The functional is PBE-GGA.

```
data_ZrMn2Mo
_symmetry_space_group_name_H-M 'F m -3 m'
_symmetry_Int_Tables_number 225
_symmetry_space_group_name_Hall '-F 4 2 3'
_cell_length_a 6.159
_cell_length_b 6.159
_cell_length_c 6.159
_cell_angle_alpha 90.00
_cell_angle_beta 90.00
_cell_angle_gamma 90.00
loop_
_atom_site_label
_atom_site_type_symbol
_atom_site_fract_x
_atom_site_fract_y
_atom_site_fract_z
Zr1 Zr 0.000 0.000 0.000
Mn1 Mn 0.250 0.250 0.250
Mo1 Mo 0.000 0.000 0.500
```

- Calculated formation energy: 0.00 eV/atom


4.
This record from the Alexandria database describes a relaxed ZrMn2Mo crystal. The functional is PBE-GGA.

```
data_ZrMn2Mo
_symmetry_space_group_name_H-M 'P m m m'
_symmetry_Int_Tables_number 47
_cell_length_a 3.263
_cell_length_b 4.315
_cell_length_c 4.455
_cell_angle_alpha 90.00
_cell_angle_beta 90.00
_cell_angle_gamma 90.00
loop_
_symmetry_equiv_pos_as_xyz
'x,y,z'
'-x,-y,-z'
'-x,-y,z'
'x,y,-z'
'x,-y,-z'
'-x,y,z'
'-x,y,-z'
'x,-y,z'
loop_
_atom_site_label
_atom_site_type_symbol
_atom_site_fract_x
_atom_site_fract_y
_atom_site_fract_z
Zr1 Zr 0.000 0.000 0.000
Mn1 Mn 0.000 0.500 0.500
Mn2 Mn 0.500 0.500 0.000
Mo1 Mo 0.500 0.000 0.500
```

- Calculated formation energy: 0.17 eV/atom


Number 2 is which compound? ZrMn2Mo